No. 1
# LiAu2Se GGA-PBE optimized geometry
# - formation energy (no corrections) (eV/atom) = -0.116
# - D(E_F) (states/eV/f.u.) = 0.89
# - offset from the most stable computed form (eV per atom) = 0.199
data_LiAu2Se
_chemical_formula_sum 'Li2 Au4 Se2'
_cell_length_a 5.528
_cell_length_b 9.554
_cell_length_c 2.799
_cell_angle_alpha 90.00
_cell_angle_beta 90.00
_cell_angle_gamma 90.00
_symmetry_space_group_name_H-M 'C m m m'
_symmetry_Int_Tables_number 65
_symmetry_space_group_name_Hall '-C 2 2'
loop_
_atom_site_label
_atom_site_fract_x
_atom_site_fract_y
_atom_site_fract_z
_atom_site_occupancy
Li1 0.000 0.000 0.000 1
Au1 0.250 0.250 0.500 1
Se1 0.000 0.500 0.000 1

---

No. 2
# CaTa2Mn GGA-PBE optimized geometry
# - energy of formation (eV per atom) = 0.404
# - D(E_F) (states/eV/f.u.) = 5.22
# - offset from the most stable computed form (eV per atom) = 0.008
data_CaTa2Mn
_chemical_formula_sum 'Ca2 Ta4 Mn2'
_cell_length_a 4.194
_cell_length_b 4.218
_cell_length_c 8.857
_cell_angle_alpha 90.00
_cell_angle_beta 90.00
_cell_angle_gamma 90.00
_symmetry_space_group_name_H-M 'C m m m'
_symmetry_Int_Tables_number 65
_symmetry_space_group_name_Hall '-C 2 2'
loop_
_atom_site_label
_atom_site_fract_x
_atom_site_fract_y
_atom_site_fract_z
_atom_site_occupancy
Ca1 0.000 0.000 0.000 1
Ta1 0.000 0.500 0.323 1
Mn1 0.000 0.000 0.500 1